Material: V2Zn4O9
Method: DFT, GGA-PBEsol
State: optimized geometry

Calculated values
Its formation energy (no corrections) is -1.858 eV/atom. The density of states at the Fermi level comes out at 0.00 states/eV/cell. Its space-group type is No. 4. The value obtained for the total energy is -6.71 eV/atom. The density is 4.7 g cm⁻³.

Unit cell a=9.6311 b=8.1329 c=10.3263 alpha=90.00 beta=116.90 gamma=90.00
Closest atoms and distances in Å follow each position.
Fractional coordinates of all 60 atoms:
1 V 0.0294 0.0000 0.0301  4 O 1.68-1.76
2 V 0.1423 0.4892 0.4796  4 O 1.70-1.75
3 V 0.3538 0.5036 0.9966  4 O 1.67-1.79
4 V 0.4591 0.9747 0.4430  4 O 1.66-1.76
5 V 0.5409 0.4747 0.5570  4 O 1.66-1.76
6 V 0.6462 0.0036 0.0034  4 O 1.67-1.79
7 V 0.8577 0.9892 0.5204  4 O 1.70-1.75
8 V 0.9706 0.5000 0.9699  4 O 1.68-1.76
9 Zn 0.0602 0.6478 0.7171  5 O 1.99-2.09
10 Zn 0.1002 0.2240 0.7936  4 O 1.97-2.08
11 Zn 0.2139 0.9757 0.6111  4 O 1.90-1.99
12 Zn 0.2392 0.2970 0.2622  5 O 1.97-2.15
13 Zn 0.2480 0.6718 0.2591  5 O 1.96-2.08
14 Zn 0.3077 0.9274 0.9177  3 O 1.96-2.00
15 Zn 0.4338 0.2901 0.7748  5 O 1.93-2.15
16 Zn 0.4369 0.6774 0.7645  5 O 1.97-2.07
17 Zn 0.5631 0.1774 0.2355  5 O 1.97-2.07
18 Zn 0.5662 0.7901 0.2252  5 O 1.93-2.15
19 Zn 0.6923 0.4274 0.0823  3 O 1.96-2.00
20 Zn 0.7520 0.1718 0.7409  5 O 1.96-2.08
21 Zn 0.7608 0.7970 0.7378  5 O 1.97-2.15
22 Zn 0.7861 0.4757 0.3889  4 O 1.90-1.99
23 Zn 0.8998 0.7240 0.2064  4 O 1.97-2.08
24 Zn 0.9398 0.1478 0.2829  5 O 1.99-2.09
25 O 0.0018 0.5028 0.5396  1 V 1.73
26 O 0.0522 0.1519 0.1552  1 V 1.73
27 O 0.0812 0.8205 0.1204  1 V 1.68
28 O 0.1044 0.6550 0.3600  1 V 1.75
29 O 0.1169 0.3066 0.3917  1 V 1.70
30 O 0.1512 0.0464 0.9532  1 V 1.73
31 O 0.1591 0.4837 0.1139  1 V 1.76
32 O 0.1781 0.4502 0.8500  1 V 1.74
33 O 0.2412 0.7875 0.7440  4 Zn 1.97-2.01
34 O 0.2784 0.1357 0.7675  3 Zn 1.93-1.99
35 O 0.3147 0.4872 0.6355  1 V 1.71
36 O 0.3172 0.9618 0.4920  1 V 1.66
37 O 0.3620 0.7033 0.0534  1 V 1.72
38 O 0.3663 0.4819 0.4002  1 V 1.73
39 O 0.4209 0.1488 0.3316  1 V 1.76
40 O 0.4283 0.3631 0.1287  1 V 1.67
41 O 0.4412 0.7997 0.3370  1 V 1.76, 1 Zn 1.96
42 O 0.4878 0.4956 0.9201  1 V 1.79, 1 Zn 2.00
43 O 0.5122 0.9956 0.0799  1 V 1.79, 1 Zn 2.00
44 O 0.5588 0.2997 0.6630  1 V 1.76, 1 Zn 1.96
45 O 0.5717 0.8631 0.8713  1 V 1.67
46 O 0.5791 0.6488 0.6684  1 V 1.76
47 O 0.6337 0.9819 0.5998  1 V 1.73
48 O 0.6380 0.2033 0.9466  1 V 1.72
49 O 0.6828 0.4618 0.5080  1 V 1.66
50 O 0.6853 0.9872 0.3645  1 V 1.71
51 O 0.7216 0.6357 0.2325  3 Zn 1.93-1.99
52 O 0.7588 0.2875 0.2560  4 Zn 1.97-2.01
53 O 0.8219 0.9502 0.1500  1 V 1.74
54 O 0.8409 0.9837 0.8861  1 V 1.76
55 O 0.8488 0.5464 0.0468  1 V 1.73
56 O 0.8831 0.8066 0.6083  1 V 1.70
57 O 0.8956 0.1550 0.6400  1 V 1.75
58 O 0.9188 0.3205 0.8796  1 V 1.68
59 O 0.9478 0.6519 0.8448  1 V 1.73
60 O 0.9982 0.0028 0.4604  1 V 1.73

---

Material: Ca5Pb
Method: DFT, GGA-PBEsol
State: optimized geometry

Calculated values
The density of states at the Fermi level comes out at 4.76 states/eV/cell. Its space-group type is No. 8. The value obtained for the total energy is -2.64 eV/atom. The density is 3.2 g cm⁻³.

Unit cell a=7.1554 b=7.1554 c=8.1755 alpha=107.48 beta=107.48 gamma=32.65
Closest atoms and distances in Å follow each position.
Fractional coordinates of all 6 atoms:
1 Ca 0.0000 0.0000 0.0000  2 Pb 3.30, 3 Ca 3.57-3.61
2 Ca 0.0173 0.0173 0.4500  2 Pb 3.43, 3 Ca 3.61-3.71
3 Ca 0.3554 0.3554 0.6465  8 Ca 3.57-3.72
4 Ca 0.6927 0.6927 0.8416  2 Pb 3.42, 3 Ca 3.62-3.72
5 Ca 0.7106 0.7106 0.2928  2 Pb 3.30, 3 Ca 3.57-3.62
6 Pb 0.3549 0.3549 0.1457  8 Ca 3.30-3.43

---

Material: Ni6SbRu
Method: DFT, GGA-PBEsol
State: optimized geometry

Calculated values
Its formation energy (no corrections) is 0.003 eV/atom. The density of states at the Fermi level comes out at 49.25 states/eV/cell. Its space-group type is No. 65. The value obtained for the total energy is -6.46 eV/atom. The density is 10.1 g cm⁻³.

Unit cell a=6.2504 b=6.2504 c=10.2288 alpha=90.00 beta=90.00 gamma=109.53
Closest atoms and distances in Å follow each position.
Fractional coordinates of all 32 atoms:
1 Ni 0.0000 0.0000 0.0000  4 Ru 2.50-2.58, 8 Ni 2.52
2 Ni 0.0000 0.0000 0.5000  8 Ni 2.54, 2 Sb 2.56, 2 Ru 2.61
3 Ni 0.1183 0.3724 0.1217  8 Ni 2.48-2.59, 3 Ru 2.51-2.54, 1 Sb 2.58
4 Ni 0.1183 0.3724 0.8783  8 Ni 2.48-2.59, 3 Ru 2.51-2.54, 1 Sb 2.58
5 Ni 0.1207 0.3677 0.3709  8 Ni 2.52-2.64, 1 Ru 2.52, 3 Sb 2.56-2.60
6 Ni 0.1207 0.3677 0.6291  8 Ni 2.52-2.64, 1 Ru 2.52, 3 Sb 2.56-2.60
7 Ni 0.2456 0.7544 0.2435  8 Ni 2.48-2.62, 2 Ru 2.49-2.51, 2 Sb 2.60-2.62
8 Ni 0.2456 0.7544 0.7565  8 Ni 2.48-2.62, 2 Ru 2.49-2.51, 2 Sb 2.60-2.62
9 Ni 0.3677 0.1207 0.3709  8 Ni 2.52-2.64, 1 Ru 2.52, 3 Sb 2.56-2.60
10 Ni 0.3677 0.1207 0.6291  8 Ni 2.52-2.64, 1 Ru 2.52, 3 Sb 2.56-2.60
11 Ni 0.3724 0.1183 0.1217  8 Ni 2.48-2.59, 3 Ru 2.51-2.54, 1 Sb 2.58
12 Ni 0.3724 0.1183 0.8783  8 Ni 2.48-2.59, 3 Ru 2.51-2.54, 1 Sb 2.58
13 Ni 0.5000 0.5000 0.0000  2 Sb 2.52, 2 Ru 2.53, 8 Ni 2.57
14 Ni 0.5000 0.5000 0.5000  4 Sb 2.54-2.60, 8 Ni 2.60
15 Ni 0.6276 0.8817 0.1217  8 Ni 2.48-2.59, 3 Ru 2.51-2.54, 1 Sb 2.58
16 Ni 0.6276 0.8817 0.8783  8 Ni 2.48-2.59, 3 Ru 2.51-2.54, 1 Sb 2.58
17 Ni 0.6323 0.8793 0.3709  8 Ni 2.52-2.64, 1 Ru 2.52, 3 Sb 2.56-2.60
18 Ni 0.6323 0.8793 0.6291  8 Ni 2.52-2.64, 1 Ru 2.52, 3 Sb 2.56-2.60
19 Ni 0.7544 0.2456 0.2435  8 Ni 2.48-2.62, 2 Ru 2.49-2.51, 2 Sb 2.60-2.62
20 Ni 0.7544 0.2456 0.7565  8 Ni 2.48-2.62, 2 Ru 2.49-2.51, 2 Sb 2.60-2.62
21 Ni 0.8793 0.6323 0.3709  8 Ni 2.52-2.64, 1 Ru 2.52, 3 Sb 2.56-2.60
22 Ni 0.8793 0.6323 0.6291  8 Ni 2.52-2.64, 1 Ru 2.52, 3 Sb 2.56-2.60
23 Ni 0.8817 0.6276 0.1217  8 Ni 2.48-2.59, 3 Ru 2.51-2.54, 1 Sb 2.58
24 Ni 0.8817 0.6276 0.8783  8 Ni 2.48-2.59, 3 Ru 2.51-2.54, 1 Sb 2.58
25 Sb 0.2512 0.7488 0.5000  12 Ni 2.54-2.62
26 Sb 0.5000 0.5000 0.2459  12 Ni 2.52-2.60
27 Sb 0.5000 0.5000 0.7541  12 Ni 2.52-2.60
28 Sb 0.7488 0.2512 0.5000  12 Ni 2.54-2.62
29 Ru 0.0000 0.0000 0.2444  12 Ni 2.50-2.61
30 Ru 0.0000 0.0000 0.7556  12 Ni 2.50-2.61
31 Ru 0.2522 0.7478 0.0000  12 Ni 2.49-2.58
32 Ru 0.7478 0.2522 0.0000  12 Ni 2.49-2.58